## CaMnCoO4 (PBE with a Hubbard U)

Data for crystalline CaMnCoO4 at its relaxed geometry.

Properties
DFT total energy ... -6.6075 eV per atom
Spin magnetization ... 0.571 μB/atom

Unit cell a=6.385 b=6.676 c=7.608 alpha=90.00 beta=90.00 gamma=90.00
Space group Imma (No. 74)
Inequivalent atoms, fractional coordinates:
Ca 0.000 0.250 0.139
Mn 0.000 0.000 0.500
Co 0.250 0.250 0.750
O 0.000 0.063 0.750
O 0.205 0.250 0.498